Here is a relaxed structure of TlBi2O6 from Alexandria via LeMat-Bulk. Energies are from PBE.

Calculated values
Formation energy from raw total energies   -0.761 eV/atom
Excess energy over the best structure of this formula in the dataset   69 meV per atom
Total energy   -5.192 eV/atom

Cell: 5.7385 5.7385 4.8386 Å, 90.00 90.00 120.00°
Space group P-31m (No. 162)
Unique sites:
Tl  0.0000  0.0000  0.0000
Bi  0.3333  0.6667  0.5000
O  0.0000  0.3501  0.2627